The following is a DFT calculation (GGA-PBE) of crystalline Ce2Cu4Ni3 at its relaxed geometry.

Cell and atoms, written as POSCAR:
```
Ce2Cu4Ni3
1.0
0.000 4.319 6.349
2.487 0.000 6.349
2.487 4.319 0.000
Ce Cu Ni
2 4 3
direct
0.124 0.124 0.876
0.876 0.876 0.124
0.165 0.495 0.505
0.495 0.165 0.835
0.505 0.835 0.165
0.835 0.505 0.495
0.000 0.000 0.500
0.500 0.500 0.000
0.500 0.500 0.500
```

Output
E_form = -226 meV per atom
raw total energy = -0.38896 Ry/atom
D(E_F) = 9.12 states/eV/cell
space group = Fmmm (69)